# 1
VASP calculation (PBE) on crystalline Pm2ScCu at its relaxed geometry.

```
Pm2ScCu
1.0
-2.6682 -1.5172 -1.8885
3.3775 -0.9328 -4.0226
1.2047 -4.7482 2.1125
Sc Cu Pm
1 1 2
direct
0.5000 0.5000 0.5000
0.5000 0.0000 0.0000
0.0000 0.0000 0.5000
0.0000 0.5000 0.0000
```

Values from the calculation:
For the energy relative to the lowest polymorph listed for this composition, the calculation gives 86 meV per atom. The calculation puts the density of states at the Fermi level at 1.15 states/eV per atom. The calculation puts the spin magnetization at 0.0000 μB per atom. The formation energy is 5.2 kJ per mole of atoms.

---

# 2
VASP calculation (PBE) on crystalline PmSc2Cu at its relaxed geometry.

```
PmSc2Cu
1.0
-1.7580 3.1579 -2.8626
-3.4027 2.7647 1.4267
1.8805 5.5253 1.2276
Sc Cu Pm
2 1 1
direct
0.7843 0.7843 0.6472
0.2157 0.2157 0.3528
0.5000 0.5000 0.5000
0.0000 0.0000 0.0000
```

Values from the calculation:
For the energy relative to the lowest polymorph listed for this composition, the calculation gives 273 meV per atom. The calculation puts the density of states at the Fermi level at 1.53 states/eV per atom. The calculation puts the spin magnetization at 0.0005 μB per atom. The formation energy is 17.9 kJ per mole of atoms.

---

Q: What is the spin magnetization in the first record?
A: 0.0000 μB per atom